CdNi2Au, optimized geometry, DFT PBE; DFT formation energy = 71 meV/atom; V = 14.9 Å³ per atom; N(E_F) = 5.8 states/eV/f.u.
1.0
4.812 0.000 0.000
1.682 4.509 0.000
-3.247 -2.255 2.744
Au Cd Ni
1 1 2
Direct
0.500 0.500 0.000
0.750 0.250 0.500
0.000 0.000 0.000
0.250 0.750 0.500